one.
Computed, not measured: a relaxed structure of Mn2CuOs2 at the GGA-PBE level of DFT.

Values from the calculation:
For the magnetic moment, the calculation gives 1.18 μB/f.u. The calculation puts the theoretical density at 13.44 Mg/m³. As for the crystal system: tetragonal.

Geometry as CIF:
```
data_Mn2CuOs2
_chemical_formula_sum 'Mn4 Cu2 Os4'
_cell_length_a 7.210
_cell_length_b 7.210
_cell_length_c 2.632
_cell_angle_alpha 90.00
_cell_angle_beta 90.00
_cell_angle_gamma 90.00
_symmetry_space_group_name_H-M 'P 4/m b m'
_symmetry_Int_Tables_number 127
_symmetry_space_group_name_Hall '-P 4 2ab'
loop_
_atom_site_label
_atom_site_type_symbol
_atom_site_fract_x
_atom_site_fract_y
_atom_site_fract_z
Mn1 Mn 0.164 0.336 0.000
Cu1 Cu 0.000 0.000 0.500
Os1 Os 0.130 0.630 0.500
```

***

two.
Computed, not measured: a relaxed structure of Mn2CuOs2 at the GGA-PBE level of DFT.

Values from the calculation:
For the magnetic moment, the calculation gives 0.00 μB/f.u. The calculation puts the theoretical density at 13.77 Mg/m³. As for the crystal system: tetragonal.

Geometry as CIF:
```
data_Mn2CuOs2
_chemical_formula_sum 'Mn4 Cu2 Os4'
_cell_length_a 7.123
_cell_length_b 7.123
_cell_length_c 2.634
_cell_angle_alpha 90.00
_cell_angle_beta 90.00
_cell_angle_gamma 90.00
_symmetry_space_group_name_H-M 'P 4/m b m'
_symmetry_Int_Tables_number 127
_symmetry_space_group_name_Hall '-P 4 2ab'
loop_
_atom_site_label
_atom_site_type_symbol
_atom_site_fract_x
_atom_site_fract_y
_atom_site_fract_z
Mn1 Mn 0.122 0.378 0.000
Cu1 Cu 0.000 0.000 0.000
Os1 Os 0.168 0.668 0.500
```

***

Question: which arrangement is favored energetically? Ranking from most to least stable: two, one.

***

one.
Computed, not measured: a relaxed structure of MnCuOs at the GGA-PBE level of DFT.

Values from the calculation:
For the magnetic moment, the calculation gives 1.62 μB/f.u. The calculation puts the theoretical density at 11.77 Mg/m³. As for the crystal system: cubic.

Geometry as CIF:
```
data_MnCuOs
_chemical_formula_sum 'Mn4 Cu4 Os4'
_cell_length_a 5.585
_cell_length_b 5.585
_cell_length_c 5.585
_cell_angle_alpha 90.00
_cell_angle_beta 90.00
_cell_angle_gamma 90.00
_symmetry_space_group_name_H-M 'F -4 3 m'
_symmetry_Int_Tables_number 216
_symmetry_space_group_name_Hall 'F -4 2 3'
loop_
_atom_site_label
_atom_site_type_symbol
_atom_site_fract_x
_atom_site_fract_y
_atom_site_fract_z
Mn1 Mn 0.000 0.000 0.000
Cu1 Cu 0.250 0.250 0.750
Os1 Os 0.250 0.250 0.250
```

***

two.
Computed, not measured: a relaxed structure of MnCuOs at the GGA-PBE level of DFT.

Values from the calculation:
For the magnetic moment, the calculation gives 1.31 μB/f.u. The calculation puts the theoretical density at 13.34 Mg/m³. As for the crystal system: tetragonal.

Geometry as CIF:
```
data_MnCuOs
_chemical_formula_sum 'Mn2 Cu2 Os2'
_cell_length_a 2.699
_cell_length_b 2.699
_cell_length_c 10.553
_cell_angle_alpha 90.00
_cell_angle_beta 90.00
_cell_angle_gamma 90.00
_symmetry_space_group_name_H-M 'I 4 m m'
_symmetry_Int_Tables_number 107
_symmetry_space_group_name_Hall 'I 4 -2'
loop_
_atom_site_label
_atom_site_type_symbol
_atom_site_fract_x
_atom_site_fract_y
_atom_site_fract_z
Mn1 Mn 0.000 0.000 0.000
Cu1 Cu 0.000 0.000 0.667
Os1 Os 0.000 0.000 0.346
```

***

Question: which arrangement is favored energetically? Ranking from most to least stable: two, one.

***

one.
Computed, not measured: a relaxed structure of MnCuOs at the GGA-PBE level of DFT.

Values from the calculation:
For the magnetic moment, the calculation gives 1.12 μB/f.u. The calculation puts the theoretical density at 13.55 Mg/m³. As for the crystal system: orthorhombic.

Geometry as CIF:
```
data_MnCuOs
_chemical_formula_sum 'Mn2 Cu2 Os2'
_cell_length_a 2.662
_cell_length_b 3.652
_cell_length_c 7.784
_cell_angle_alpha 90.00
_cell_angle_beta 90.00
_cell_angle_gamma 90.00
_symmetry_space_group_name_H-M 'I m m 2'
_symmetry_Int_Tables_number 44
loop_
_symmetry_equiv_pos_as_xyz
'x,y,z'
'-x,-y,z'
'-x,y,z'
'x,-y,z'
'x+1/2,y+1/2,z+1/2'
'-x+1/2,-y+1/2,z+1/2'
'-x+1/2,y+1/2,z+1/2'
'x+1/2,-y+1/2,z+1/2'
loop_
_atom_site_label
_atom_site_type_symbol
_atom_site_fract_x
_atom_site_fract_y
_atom_site_fract_z
Mn1 Mn 0.000 0.000 0.000
Cu1 Cu 0.000 0.000 0.329
Os1 Os 0.000 0.000 0.658
```

***

two.
Computed, not measured: a relaxed structure of MnCuOs at the GGA-PBE level of DFT.

Values from the calculation:
For the magnetic moment, the calculation gives 3.22 μB/f.u. The calculation puts the theoretical density at 12.61 Mg/m³. As for the crystal system: orthorhombic.

Geometry as CIF:
```
data_MnCuOs
_chemical_formula_sum 'Mn4 Cu4 Os4'
_cell_length_a 2.947
_cell_length_b 4.369
_cell_length_c 12.633
_cell_angle_alpha 90.00
_cell_angle_beta 90.00
_cell_angle_gamma 90.00
_symmetry_space_group_name_H-M 'F m m 2'
_symmetry_Int_Tables_number 42
_symmetry_space_group_name_Hall 'F 2 -2'
loop_
_atom_site_label
_atom_site_type_symbol
_atom_site_fract_x
_atom_site_fract_y
_atom_site_fract_z
Mn1 Mn 0.000 0.000 0.000
Cu1 Cu 0.000 0.000 0.337
Os1 Os 0.000 0.000 0.661
```

***

Question: which arrangement is favored energetically? Ranking from most to least stable: one, two.

***

one.
Computed, not measured: a relaxed structure of MnCuOs2 at the GGA-PBE level of DFT.

Values from the calculation:
For the magnetic moment, the calculation gives 2.10 μB/f.u. The calculation puts the theoretical density at 15.53 Mg/m³. As for the crystal system: tetragonal.

Geometry as CIF:
```
data_MnCuOs2
_chemical_formula_sum 'Mn1 Cu1 Os2'
_cell_length_a 3.781
_cell_length_b 3.781
_cell_length_c 3.732
_cell_angle_alpha 90.00
_cell_angle_beta 90.00
_cell_angle_gamma 90.00
_symmetry_space_group_name_H-M 'P 4/m m m'
_symmetry_Int_Tables_number 123
_symmetry_space_group_name_Hall '-P 4 2'
loop_
_atom_site_label
_atom_site_type_symbol
_atom_site_fract_x
_atom_site_fract_y
_atom_site_fract_z
Mn1 Mn 0.000 0.000 0.000
Cu1 Cu 0.500 0.500 0.000
Os1 Os 0.000 0.500 0.500
```

***

two.
Computed, not measured: a relaxed structure of MnCuOs2 at the GGA-PBE level of DFT.

Values from the calculation:
For the magnetic moment, the calculation gives 2.82 μB/f.u. The calculation puts the theoretical density at 15.53 Mg/m³. As for the crystal system: tetragonal.

Geometry as CIF:
```
data_MnCuOs2
_chemical_formula_sum 'Mn2 Cu2 Os4'
_cell_length_a 3.751
_cell_length_b 3.751
_cell_length_c 7.582
_cell_angle_alpha 90.00
_cell_angle_beta 90.00
_cell_angle_gamma 90.00
_symmetry_space_group_name_H-M 'I -4 m 2'
_symmetry_Int_Tables_number 119
_symmetry_space_group_name_Hall 'I -4 -2'
loop_
_atom_site_label
_atom_site_type_symbol
_atom_site_fract_x
_atom_site_fract_y
_atom_site_fract_z
Mn1 Mn 0.000 0.000 0.000
Cu1 Cu 0.000 0.500 0.250
Os1 Os 0.000 0.000 0.500
Os2 Os 0.000 0.500 0.750
```

***

three.
Computed, not measured: a relaxed structure of MnCuOs2 at the GGA-PBE level of DFT.

Values from the calculation:
For the magnetic moment, the calculation gives 0.00 μB/f.u. The calculation puts the theoretical density at 13.97 Mg/m³. As for the crystal system: tetragonal.

Geometry as CIF:
```
data_MnCuOs2
_chemical_formula_sum 'Mn4 Cu4 Os8'
_cell_length_a 6.935
_cell_length_b 6.935
_cell_length_c 4.934
_cell_angle_alpha 90.00
_cell_angle_beta 90.00
_cell_angle_gamma 90.00
_symmetry_space_group_name_H-M 'I -4 2 d'
_symmetry_Int_Tables_number 122
_symmetry_space_group_name_Hall 'I -4 2bw'
loop_
_atom_site_label
_atom_site_type_symbol
_atom_site_fract_x
_atom_site_fract_y
_atom_site_fract_z
Mn1 Mn 0.000 0.000 0.000
Cu1 Cu 0.000 0.000 0.500
Os1 Os 0.194 0.250 0.125
```

***

four.
Computed, not measured: a relaxed structure of MnCuOs2 at the GGA-PBE level of DFT.

Values from the calculation:
For the magnetic moment, the calculation gives 2.75 μB/f.u. The calculation puts the theoretical density at 15.10 Mg/m³. As for the crystal system: monoclinic.

Geometry as CIF:
```
data_MnCuOs2
_chemical_formula_sum 'Mn1 Cu1 Os2'
_cell_length_a 2.632
_cell_length_b 4.373
_cell_length_c 4.777
_cell_angle_alpha 90.00
_cell_angle_beta 93.91
_cell_angle_gamma 90.00
_symmetry_space_group_name_H-M 'P 1 2/m 1'
_symmetry_Int_Tables_number 10
loop_
_symmetry_equiv_pos_as_xyz
'x,y,z'
'-x,-y,-z'
'-x,y,-z'
'x,-y,z'
loop_
_atom_site_label
_atom_site_type_symbol
_atom_site_fract_x
_atom_site_fract_y
_atom_site_fract_z
Mn1 Mn 0.000 0.000 0.000
Cu1 Cu 0.500 0.000 0.500
Os1 Os 0.242 0.500 0.748
```

***

Question: which arrangement is favored energetically? Ranking from most to least stable: two, one, four, three.

***

one.
Computed, not measured: a relaxed structure of MnCuOs2 at the GGA-PBE level of DFT.

Values from the calculation:
For the magnetic moment, the calculation gives 3.89 μB/f.u. The calculation puts the theoretical density at 14.98 Mg/m³. As for the crystal system: cubic.

Geometry as CIF:
```
data_MnCuOs2
_chemical_formula_sum 'Mn4 Cu4 Os8'
_cell_length_a 6.048
_cell_length_b 6.048
_cell_length_c 6.048
_cell_angle_alpha 90.00
_cell_angle_beta 90.00
_cell_angle_gamma 90.00
_symmetry_space_group_name_H-M 'F -4 3 m'
_symmetry_Int_Tables_number 216
_symmetry_space_group_name_Hall 'F -4 2 3'
loop_
_atom_site_label
_atom_site_type_symbol
_atom_site_fract_x
_atom_site_fract_y
_atom_site_fract_z
Mn1 Mn 0.000 0.000 0.000
Cu1 Cu 0.250 0.250 0.250
Os1 Os 0.000 0.000 0.500
Os2 Os 0.250 0.250 0.750
```

***

two.
Computed, not measured: a relaxed structure of MnCuOs2 at the GGA-PBE level of DFT.

Values from the calculation:
For the magnetic moment, the calculation gives 2.34 μB/f.u. The calculation puts the theoretical density at 15.18 Mg/m³. As for the crystal system: trigonal.

Geometry as CIF:
```
data_MnCuOs2
_chemical_formula_sum 'Mn3 Cu3 Os6'
_cell_length_a 2.7020
_cell_length_b 2.7020
_cell_length_c 25.9016
_cell_angle_alpha 90.00
_cell_angle_beta 90.00
_cell_angle_gamma 120.00
_symmetry_space_group_name_H-M 'R 3 m'
_symmetry_Int_Tables_number 160
_symmetry_space_group_name_Hall 'R 3 -2"'
loop_
_atom_site_label
_atom_site_type_symbol
_atom_site_fract_x
_atom_site_fract_y
_atom_site_fract_z
Mn1 Mn 0.0000 0.0000 0.0000
Cu1 Cu 0.0000 0.0000 0.2533
Os1 Os 0.0000 0.0000 0.5009
Os2 Os 0.0000 0.0000 0.7505
```

***

Question: which arrangement is favored energetically? Ranking from most to least stable: two, one.

***

one.
Computed, not measured: a relaxed structure of MnCuOs2 at the GGA-PBE level of DFT.

Values from the calculation:
For the magnetic moment, the calculation gives 2.09 μB/f.u. The calculation puts the theoretical density at 15.75 Mg/m³. As for the crystal system: tetragonal.

Geometry as CIF:
```
data_MnCuOs2
_chemical_formula_sum 'Mn1 Cu1 Os2'
_cell_length_a 3.030
_cell_length_b 3.030
_cell_length_c 5.727
_cell_angle_alpha 90.00
_cell_angle_beta 90.00
_cell_angle_gamma 90.00
_symmetry_space_group_name_H-M 'P 4/m m m'
_symmetry_Int_Tables_number 123
_symmetry_space_group_name_Hall '-P 4 2'
loop_
_atom_site_label
_atom_site_type_symbol
_atom_site_fract_x
_atom_site_fract_y
_atom_site_fract_z
Mn1 Mn 0.000 0.000 0.000
Cu1 Cu 0.000 0.000 0.500
Os1 Os 0.500 0.500 0.250
```

***

two.
Computed, not measured: a relaxed structure of MnCuOs2 at the GGA-PBE level of DFT.

Values from the calculation:
For the magnetic moment, the calculation gives 2.91 μB/f.u. The calculation puts the theoretical density at 14.88 Mg/m³. As for the crystal system: orthorhombic.

Geometry as CIF:
```
data_MnCuOs2
_chemical_formula_sum 'Mn2 Cu2 Os4'
_cell_length_a 2.794
_cell_length_b 4.510
_cell_length_c 8.841
_cell_angle_alpha 90.00
_cell_angle_beta 90.00
_cell_angle_gamma 90.00
_symmetry_space_group_name_H-M 'C m m 2'
_symmetry_Int_Tables_number 35
loop_
_symmetry_equiv_pos_as_xyz
'x,y,z'
'-x,-y,z'
'-x,y,z'
'x,-y,z'
'x+1/2,y+1/2,z'
'-x+1/2,-y+1/2,z'
'-x+1/2,y+1/2,z'
'x+1/2,-y+1/2,z'
loop_
_atom_site_label
_atom_site_type_symbol
_atom_site_fract_x
_atom_site_fract_y
_atom_site_fract_z
Mn1 Mn 0.000 0.000 0.000
Cu1 Cu 0.000 0.500 0.239
Os1 Os 0.000 0.000 0.496
Os2 Os 0.000 0.500 0.758
```

***

three.
Computed, not measured: a relaxed structure of MnCuOs2 at the GGA-PBE level of DFT.

Values from the calculation:
For the magnetic moment, the calculation gives 2.62 μB/f.u. The calculation puts the theoretical density at 15.08 Mg/m³. As for the crystal system: orthorhombic.

Geometry as CIF:
```
data_MnCuOs2
_chemical_formula_sum 'Mn2 Cu2 Os4'
_cell_length_a 2.806
_cell_length_b 4.474
_cell_length_c 8.753
_cell_angle_alpha 90.00
_cell_angle_beta 90.00
_cell_angle_gamma 90.00
_symmetry_space_group_name_H-M 'C m m m'
_symmetry_Int_Tables_number 65
_symmetry_space_group_name_Hall '-C 2 2'
loop_
_atom_site_label
_atom_site_type_symbol
_atom_site_fract_x
_atom_site_fract_y
_atom_site_fract_z
Mn1 Mn 0.000 0.000 0.000
Cu1 Cu 0.000 0.000 0.500
Os1 Os 0.000 0.500 0.243
```

***

Question: which arrangement is favored energetically? Ranking from most to least stable: one, three, two.